1 | ! DyHgTe2 (PBE, relaxed); values from VASP
! SG: R3m
&SYSTEM
  ibrav = 0, nat = 4, ntyp = 3
/
ATOMIC_SPECIES
Dy 162.50 Dy.upf
Hg 200.59 Hg.upf
Te 127.60 Te.upf
ATOMIC_POSITIONS crystal
Dy 0.000 0.000 0.000
Hg 0.166 0.166 0.166
Te 0.406 0.406 0.406
Te 0.591 0.591 0.591
CELL_PARAMETERS angstrom
2.200 1.270 7.851
-2.200 1.270 7.851
0.000 -2.541 7.851


2 | ! DyHgTe2 (PBE, relaxed); values from VASP
! SG: P3_221
&SYSTEM
  ibrav = 0, nat = 12, ntyp = 3
/
ATOMIC_SPECIES
Dy 162.50 Dy.upf
Hg 200.59 Hg.upf
Te 127.60 Te.upf
ATOMIC_POSITIONS crystal
Dy 0.000 0.671 0.333
Dy 0.329 0.329 0.000
Dy 0.671 0.000 0.667
Hg 0.000 0.664 0.833
Hg 0.336 0.336 0.500
Hg 0.664 0.000 0.167
Te 0.004 0.667 0.727
Te 0.333 0.338 0.393
Te 0.338 0.333 0.607
Te 0.662 0.996 0.060
Te 0.667 0.004 0.273
Te 0.996 0.662 0.940
CELL_PARAMETERS angstrom
4.483 0.000 0.000
-2.242 3.883 0.000
0.000 0.000 27.744


Stability order, top to bottom: 1, 2


1 | ! DyThHg (PBE, relaxed); values from VASP
! SG: Cmcm
&SYSTEM
  ibrav = 0, nat = 6, ntyp = 3
/
ATOMIC_SPECIES
Dy 162.50 Dy.upf
Th 232.04 Th.upf
Hg 200.59 Hg.upf
ATOMIC_POSITIONS crystal
Dy 0.086 0.914 0.750
Dy 0.914 0.086 0.250
Th 0.226 0.774 0.250
Th 0.774 0.226 0.750
Hg 0.437 0.563 0.750
Hg 0.563 0.437 0.250
CELL_PARAMETERS angstrom
1.786 -8.795 0.000
1.786 8.795 0.000
0.000 0.000 5.471


2 | ! DyThHg (PBE, relaxed); values from VASP
! SG: P3m1
&SYSTEM
  ibrav = 0, nat = 3, ntyp = 3
/
ATOMIC_SPECIES
Dy 162.50 Dy.upf
Th 232.04 Th.upf
Hg 200.59 Hg.upf
ATOMIC_POSITIONS crystal
Dy 0.000 0.000 0.000
Th 0.667 0.333 0.503
Hg 0.333 0.667 0.012
CELL_PARAMETERS angstrom
5.244 0.000 0.000
-2.622 4.542 0.000
0.000 0.000 3.692


Stability order, top to bottom: 1, 2